Below is crystalline KZr3Br at its relaxed geometry, with properties calculated at the PBE level.

abc: 5.183 5.183 5.183
angles: 90.00 90.00 90.00
Space group Pm-3m (No. 221)
Symmetry-distinct sites (fractional):
K 0.000 0.000 0.000 x1
Zr 0.000 0.500 0.500 x3
Br 0.500 0.500 0.500 x1

Output
Mass density: 4.68 g/cm3
Excess energy over the best structure of this formula in the dataset: 0.000 eV/atom
Size of the total moment: 0.00 Bohr magnetons per cell
ΔE_f (raw): 0.6882 eV/atom
D(E_F): 3.0 states/eV per cell